A relaxed structure of SnBr2F, computed with PBE-GGA.

Structure (CIF):
```
data_SnBr2F
_cell_length_a 3.4540
_cell_length_b 3.4540
_cell_length_c 27.1728
_cell_angle_alpha 90.00
_cell_angle_beta 90.00
_cell_angle_gamma 120.00
_space_group_name_H-M_alt 'R -3 m'
_space_group_IT_number 166
_space_group_name_Hall '-R 3 2"'
loop_
_atom_site_label
_atom_site_type_symbol
_atom_site_fract_x
_atom_site_fract_y
_atom_site_fract_z
Sn1 Sn 0.0000 0.0000 0.0000
Br1 Br 0.0000 0.0000 0.0955
F1 F 0.0000 0.0000 0.5000
```

energy above the most stable polymorph in this dataset: 1064 meV/atom
M_tot: 2.125 Bohr magnetons per cell
formation energy (no corrections): -0.25 eV/f.u.
VASP energy: -28.40 eV per cell